# Eu2ZnCu

A relaxed structure of Eu2ZnCu (PBE-GGA, Alexandria via LeMat-Bulk).

- E: -6.6446 eV per atom
- ΔE_f: -164.9 meV per atom
- Theoretical density: 7095 kg/m3

Cell lengths 3.6943, 3.6943, 7.4235 Å; angles 90.00, 90.00, 90.00 degrees
Space group P4/mmm (No. 123)
Asymmetric unit:
Eu1 0.0000 0.0000 0.2425 (multiplicity 2)
Zn1 0.5000 0.5000 0.5000 (multiplicity 1)
Cu1 0.5000 0.5000 0.0000 (multiplicity 1)

# SrMgCu2Ge2

A relaxed structure of SrMgCu2Ge2 (PBE-GGA, Alexandria via LeMat-Bulk).

- E: -3.7887 eV per atom
- ΔE_f: -338.1 meV per atom
- Theoretical density: 5469 kg/m3

Cell lengths 4.2768, 4.2768, 7.3667 Å; angles 90.00, 90.00, 120.00 degrees
Space group P-3m1 (No. 164)
Asymmetric unit:
Sr1 0.0000 0.0000 0.0000 (multiplicity 1)
Mg1 0.0000 0.0000 0.5000 (multiplicity 1)
Cu1 0.3333 0.6667 0.6661 (multiplicity 2)
Ge1 0.3333 0.6667 0.2874 (multiplicity 2)